# 1
The following is a PBE-GGA calculation of NaPr2Zn2Pd5 after structural relaxation, from the Alexandria database.

Properties
symmetry	P4/mbm, No. 127
density	8.207	Mg/m³
uncorrected energy	-4.45	eV per atom
energy of formation	-50	kJ per mole of atoms

abc: 3.943 9.966 9.966
angles: 90.00 90.00 90.00
Positions (direct):
Na: 0.000 0.000 0.000
Na: 0.000 0.500 0.500
Pr: 0.000 0.681 0.181
Pr: 0.000 0.319 0.819
Pr: 0.000 0.181 0.319
Pr: 0.000 0.819 0.681
Zn: 0.000 0.114 0.614
Zn: 0.000 0.886 0.386
Zn: 0.000 0.614 0.886
Zn: 0.000 0.386 0.114
Pd: 0.500 0.218 0.069
Pd: 0.500 0.782 0.931
Pd: 0.500 0.069 0.782
Pd: 0.500 0.718 0.431
Pd: 0.500 0.931 0.218
Pd: 0.500 0.282 0.569
Pd: 0.500 0.569 0.718
Pd: 0.500 0.431 0.282
Pd: 0.500 0.500 0.000
Pd: 0.500 0.000 0.500

=====

# 2
The following is a PBE-GGA calculation of NaPrZnPd after structural relaxation, from the Alexandria database.

Properties
symmetry	F-43m, No. 216
density	6.120	Mg/m³
uncorrected energy	-3.40	eV per atom
energy of formation	-25	kJ per mole of atoms

abc: 5.051 5.051 5.051
angles: 60.00 60.00 60.00
Positions (direct):
Pr: 0.250 0.250 0.250
Na: 0.750 0.750 0.750
Zn: 0.500 0.500 0.500
Pd: 0.000 0.000 0.000

=====

# 3
The following is a PBE-GGA calculation of Na3PdPt after structural relaxation, from the Alexandria database.

Properties
symmetry	Pm-3m, No. 221
density	4.037	Mg/m³
uncorrected energy	-2.61	eV per atom
energy of formation	41	kJ per mole of atoms

abc: 5.341 5.341 5.341
angles: 90.00 90.00 90.00
Positions (direct):
Na: 0.000 0.500 0.000
Na: 0.000 0.000 0.500
Na: 0.500 0.000 0.000
Pd: 0.500 0.500 0.500
Pt: 0.000 0.000 0.000

=====

# 4
The following is a PBE-GGA calculation of NaPdPt after structural relaxation, from the Alexandria database.

Properties
symmetry	Fddd, No. 70
density	8.830	Mg/m³
uncorrected energy	-4.32	eV per atom
energy of formation	-13	kJ per mole of atoms

abc: 5.348 5.309 10.303
angles: 82.49 74.96 59.76
Positions (direct):
Pd: 0.139 0.500 0.722
Pd: 0.361 0.500 0.278
Pd: 0.611 0.000 0.778
Pd: 0.389 0.000 0.222
Pt: 0.626 0.500 0.747
Pt: 0.874 0.500 0.253
Pt: 0.124 0.000 0.753
Pt: 0.876 0.000 0.247
Na: 0.925 0.150 0.500
Na: 0.575 0.850 0.500
Na: 0.825 0.350 0.000
Na: 0.175 0.650 0.000

=====

# 5
The following is a PBE-GGA calculation of Na2PdPt2 after structural relaxation, from the Alexandria database.

Properties
symmetry	C2/m, No. 12
density	9.371	Mg/m³
uncorrected energy	-4.16	eV per atom
energy of formation	-17	kJ per mole of atoms

abc: 4.642 4.730 5.677
angles: 89.59 65.87 60.61
Positions (direct):
Na: 0.159 0.180 0.503
Na: 0.841 0.820 0.497
Pd: 0.000 0.000 0.000
Pt: 0.339 0.335 0.987
Pt: 0.661 0.665 0.013

=====

# 6
The following is a PBE-GGA calculation of NaPdPt after structural relaxation, from the Alexandria database.

Properties
symmetry	Imma, No. 74
density	9.847	Mg/m³
uncorrected energy	-4.45	eV per atom
energy of formation	-26	kJ per mole of atoms

abc: 5.369 5.369 5.369
angles: 90.03 119.53 120.44
Positions (direct):
Na: 0.250 0.124 0.874
Na: 0.750 0.876 0.126
Pd: 0.500 0.500 0.500
Pd: 0.000 0.500 0.000
Pt: 0.000 0.500 0.500
Pt: 0.500 0.000 0.500

=====

# 7
The following is a PBE-GGA calculation of NaPdPt after structural relaxation, from the Alexandria database.

Properties
symmetry	P-1, No. 2
density	10.573	Mg/m³
uncorrected energy	-4.26	eV per atom
energy of formation	-7	kJ per mole of atoms

abc: 4.195 4.721 5.836
angles: 99.30 90.06 63.69
Positions (direct):
Na: 0.669 0.163 0.428
Na: 0.331 0.837 0.572
Pd: 0.991 0.519 0.773
Pd: 0.009 0.481 0.227
Pt: 0.661 0.179 0.940
Pt: 0.339 0.821 0.060

=====

# 8
The following is a PBE-GGA calculation of Na2PdPt2 after structural relaxation, from the Alexandria database.

Properties
symmetry	P4/mbm, No. 127
density	8.848	Mg/m³
uncorrected energy	-4.03	eV per atom
energy of formation	-5	kJ per mole of atoms

abc: 6.611 6.611 4.659
angles: 90.00 90.00 90.00
Positions (direct):
Na: 0.174 0.674 0.500
Na: 0.674 0.826 0.500
Na: 0.826 0.326 0.500
Na: 0.326 0.174 0.500
Pd: 0.000 0.000 0.000
Pd: 0.500 0.500 0.000
Pt: 0.367 0.867 0.000
Pt: 0.867 0.633 0.000
Pt: 0.633 0.133 0.000
Pt: 0.133 0.367 0.000

=====

# 9
The following is a PBE-GGA calculation of Na2PdPt3 after structural relaxation, from the Alexandria database.

Properties
symmetry	C2/m, No. 12
density	11.211	Mg/m³
uncorrected energy	-4.65	eV per atom
energy of formation	-31	kJ per mole of atoms

abc: 5.339 5.339 5.389
angles: 90.12 119.74 119.81
Positions (direct):
Na: 0.750 0.375 0.125
Na: 0.250 0.625 0.875
Pd: 0.000 0.000 0.000
Pt: 0.500 0.500 0.500
Pt: 0.000 0.000 0.500
Pt: 0.500 0.000 0.500

=====

# 10
The following is a PBE-GGA calculation of NaPdPt3 after structural relaxation, from the Alexandria database.

Properties
symmetry	Pm-3m, No. 221
density	12.449	Mg/m³
uncorrected energy	-3.41	eV per atom
energy of formation	147	kJ per mole of atoms

abc: 4.568 4.568 4.568
angles: 90.00 90.00 90.00
Site moments in Bohr magnetons follow the coordinates.
Positions (direct):
Na: 0.000 0.000 0.000  0.00
Pd: 0.500 0.500 0.500  0.08
Pt: 0.000 0.500 0.000  0.01
Pt: 0.000 0.000 0.500  0.01
Pt: 0.500 0.000 0.000  0.05

=====

# 11
The following is a PBE-GGA calculation of NaPdPt4 after structural relaxation, from the Alexandria database.

Properties
symmetry	F-43m, No. 216
density	14.457	Mg/m³
uncorrected energy	-5.19	eV per atom
energy of formation	-7	kJ per mole of atoms

abc: 5.287 5.287 5.287
angles: 60.00 60.00 60.00
Positions (direct):
Na: 0.000 0.000 0.000
Pd: 0.250 0.250 0.250
Pt: 0.625 0.625 0.126
Pt: 0.625 0.126 0.625
Pt: 0.625 0.625 0.625
Pt: 0.126 0.625 0.625

=====

# 12
The following is a PBE-GGA calculation of NaPdPt after structural relaxation, from the Alexandria database.

Properties
symmetry	P3m1, No. 156
density	10.827	Mg/m³
uncorrected energy	-4.22	eV per atom
energy of formation	-3	kJ per mole of atoms

abc: 2.790 2.790 7.381
angles: 90.00 90.00 120.00
Positions (direct):
Na: 0.333 0.667 0.666
Pd: 0.667 0.333 0.331
Pt: 0.000 0.000 0.003